[1]
Below is a relaxed Ho3Th5Sb8 crystal, with properties calculated at the PBE level.

Properties
Energy relative to the elements, uncorrected = -15.71 eV/f.u.
DFT total energy = -99.5 eV per cell
Space group = No. 166
M_tot = 0.0 μB per formula unit
ρ = 8.7 Mg/m³

Cell: 8.901 8.901 8.901 Å, 60.18 60.18 60.18°
Atoms (fractional coordinates):
1 Ho 0.000 0.500 0.500
2 Ho 0.500 0.000 0.500
3 Ho 0.500 0.500 0.000
4 Th 0.000 0.000 0.000
5 Th 0.000 0.000 0.500
6 Th 0.000 0.500 0.000
7 Th 0.500 0.000 0.000
8 Th 0.500 0.500 0.500
9 Sb 0.250 0.250 0.743
10 Sb 0.250 0.743 0.250
11 Sb 0.253 0.253 0.253
12 Sb 0.257 0.750 0.750
13 Sb 0.743 0.250 0.250
14 Sb 0.747 0.747 0.747
15 Sb 0.750 0.257 0.750
16 Sb 0.750 0.750 0.257



[2]
Below is a relaxed HoTh2Sb3 crystal, with properties calculated at the PBE level.

Properties
Energy relative to the elements, uncorrected = -5.83 eV/f.u.
DFT total energy = -37.6 eV per cell
Space group = No. 71
M_tot = 0.0 μB per formula unit
ρ = 8.8 Mg/m³

Cell: 7.738 7.738 7.738 Å, 146.57 131.79 59.93°
Atoms (fractional coordinates):
1 Ho 0.000 0.000 0.000
2 Th 0.332 0.332 0.000
3 Th 0.668 0.668 0.000
4 Sb 0.161 0.661 0.500
5 Sb 0.500 0.000 0.500
6 Sb 0.839 0.339 0.500



[3]
Below is a relaxed HoTh4Sb6 crystal, with properties calculated at the PBE level.

Properties
Energy relative to the elements, uncorrected = -9.03 eV/f.u.
DFT total energy = -136.1 eV per cell
Space group = No. 167
M_tot = 0.0 μB per formula unit
ρ = 9.0 Mg/m³

Cell: 8.776 8.776 8.776 Å, 89.59 89.59 89.59°
Atoms (fractional coordinates):
1 Ho 0.000 0.000 0.000
2 Ho 0.500 0.500 0.500
3 Th 0.141 0.750 0.359
4 Th 0.250 0.250 0.250
5 Th 0.250 0.641 0.859
6 Th 0.359 0.141 0.750
7 Th 0.641 0.859 0.250
8 Th 0.750 0.359 0.141
9 Th 0.750 0.750 0.750
10 Th 0.859 0.250 0.641
11 Sb 0.063 0.921 0.673
12 Sb 0.079 0.327 0.937
13 Sb 0.173 0.421 0.563
14 Sb 0.327 0.937 0.079
15 Sb 0.421 0.563 0.173
16 Sb 0.437 0.827 0.579
17 Sb 0.563 0.173 0.421
18 Sb 0.579 0.437 0.827
19 Sb 0.673 0.063 0.921
20 Sb 0.827 0.579 0.437
21 Sb 0.921 0.673 0.063
22 Sb 0.937 0.079 0.327



Which of these has the lowest energy relative to the elements, uncorrected?
Ho3Th5Sb8



Which value of DFT total energy does entry 2 give?
-37.6 eV per cell